Record 1
A geometry-optimized Pr5PaSe6 structure. Source: Alexandria, functional PBE.

```
Pr5PaSe6
1.0
7.242 0.169 1.096
1.770 6.155 3.587
0.120 0.083 7.311
Pr Se Pa
5 6 1
Cartesian
0.632 2.085 3.622
1.259 4.153 7.275
4.506 3.162 2.341
4.012 1.226 5.909
5.121 5.182 6.085
2.845 3.747 4.763
3.458 5.758 8.520
5.675 0.649 3.474
6.773 4.821 3.556
6.287 2.661 7.231
2.239 1.504 1.127
0.000 0.000 0.000
```

Properties
spin magnetization	0.0	μB/f.u.
formation energy from raw total energies	-39.741	kcal/mol of atoms
space group	No. 12

=====

Record 2
A geometry-optimized PrPaSe2 structure. Source: Alexandria, functional PBE.

```
PrPaSe2
1.0
-0.251 -1.813 -3.665
3.308 -1.780 -1.636
-0.708 -7.280 1.361
Se Pa Pr
2 1 1
Cartesian
0.570 -2.778 -0.954
1.778 -8.096 -2.986
1.174 -5.437 -1.970
0.000 0.000 0.000
```

Properties
energy relative to the lowest polymorph listed for this composition	0	meV/atom
spin magnetization	1.1	μB/f.u.
formation energy from raw total energies	-34.359	kcal/mol of atoms
space group	No. 166

=====

Record 3
A geometry-optimized Pr2Pa3Se8 structure. Source: Alexandria, functional PBE.

```
Pr2Pa3Se8
1.0
-4.333 -0.218 -5.356
-6.412 -0.361 5.202
4.237 7.399 -0.830
Pr Se Pa
2 8 3
Cartesian
-5.607 3.173 -0.126
-0.901 3.647 -0.858
-3.704 1.582 -4.457
-3.435 5.230 -0.448
-3.073 1.591 -0.537
-6.417 1.402 2.176
-6.945 1.198 -1.913
-2.804 5.238 3.472
-0.091 5.418 -3.160
0.437 5.623 0.928
-4.847 -0.273 3.931
-1.566 -0.088 1.270
-2.166 -0.109 -2.678
```

Properties
energy relative to the lowest polymorph listed for this composition	20	meV/atom
spin magnetization	5.0	μB/f.u.
formation energy from raw total energies	-33.768	kcal/mol of atoms
space group	No. 12

=====

Record 4
A geometry-optimized PrPaSe2 structure. Source: Alexandria, functional PBE.

```
PrPaSe2
1.0
3.606 0.000 0.000
0.000 3.606 0.000
0.000 0.000 7.239
Pa Se Pr
1 2 1
Cartesian
1.803 1.803 0.000
0.000 0.000 1.706
0.000 0.000 5.533
1.803 1.803 3.620
```

Properties
energy relative to the lowest polymorph listed for this composition	194	meV/atom
spin magnetization	1.2	μB/f.u.
formation energy from raw total energies	-29.894	kcal/mol of atoms
space group	No. 123

=====

Record 5
A geometry-optimized PrPaSe2 structure. Source: Alexandria, functional PBE.

```
PrPaSe2
1.0
-3.783 0.404 0.485
-0.928 -7.910 -0.655
0.785 -0.644 6.668
Se Pr Pa
4 2 2
Cartesian
-0.446 -6.137 1.626
-2.003 -1.875 1.102
-1.923 -6.276 5.395
0.304 -2.417 4.387
-1.963 -4.075 3.249
-1.499 -0.120 3.576
0.000 0.000 0.000
-0.464 -3.955 -0.328
```

Properties
energy relative to the lowest polymorph listed for this composition	132	meV/atom
spin magnetization	1.0	μB/f.u.
formation energy from raw total energies	-31.323	kcal/mol of atoms
space group	No. 51

=====

Record 6
A geometry-optimized Pr5Pa2Se12 structure. Source: Alexandria, functional PBE.

```
Pr5Pa2Se12
1.0
-1.772 5.811 5.003
-5.757 -1.061 -6.996
-2.672 -6.453 6.549
Pr Se Pa
5 12 2
Cartesian
-1.336 -3.226 3.275
-5.575 -1.712 6.205
-4.625 0.010 -1.649
-5.592 -3.025 1.533
-4.608 1.322 3.023
-3.872 4.308 2.688
-1.511 1.483 3.932
-4.798 1.247 6.104
-6.329 -6.011 1.868
-6.279 -0.076 0.926
-3.049 1.611 0.366
-2.245 -5.181 5.223
-5.403 -2.950 -1.549
-7.955 3.478 -0.667
-7.151 -3.314 4.190
-3.921 -1.627 3.630
-8.689 -3.186 0.624
-1.315 4.314 3.714
-0.457 1.498 1.289
```

Properties
spin magnetization	1.0	μB/f.u.
formation energy from raw total energies	-38.534	kcal/mol of atoms
space group	No. 12

=====

Record 7
A geometry-optimized PrPa3Se4 structure. Source: Alexandria, functional PBE.

```
PrPa3Se4
1.0
-2.777 2.520 1.261
-4.957 -3.508 -3.902
-2.794 -5.174 4.187
Se Pr Pa
4 1 3
Cartesian
-8.602 -3.983 1.430
-4.703 0.340 1.376
-5.823 -2.686 -1.249
-4.706 -3.477 2.794
-6.661 -5.668 2.866
-6.652 -1.821 1.403
-5.571 -2.654 5.447
-2.786 -1.327 2.723
```

Properties
spin magnetization	1.4	μB/f.u.
formation energy from raw total energies	-30.812	kcal/mol of atoms
space group	No. 65

=====

Record 8
A geometry-optimized PrSm2PaSe4 structure. Source: Alexandria, functional PBE.

```
PrSm2PaSe4
1.0
-0.692 0.890 -3.978
-0.380 -7.061 -1.514
-6.622 2.412 1.691
Se Pa Sm Pr
4 1 2 1
Cartesian
-1.932 -4.653 -0.705
-2.118 -0.763 -1.951
-5.576 -2.996 -1.849
-5.071 0.003 0.883
-0.536 -3.085 -2.746
-3.657 1.651 -1.143
-3.501 -2.325 0.089
0.000 0.000 0.000
```

Properties
spin magnetization	0.9	μB/f.u.
formation energy from raw total energies	-37.987	kcal/mol of atoms
space group	No. 10

=====

Record 9
A geometry-optimized Pr2YPaSe4 structure. Source: Alexandria, functional PBE.

```
Pr2YPaSe4
1.0
-1.637 -0.237 -3.787
-3.380 -6.133 1.844
-4.323 5.616 1.518
Pr Se Pa Y
2 4 1 1
Cartesian
-3.852 -0.259 1.681
-2.980 2.689 -1.135
-3.547 -3.252 1.737
-4.156 2.734 1.626
-6.681 -0.456 0.662
-2.659 -0.298 -1.087
-2.509 -3.185 -0.971
0.000 0.000 0.000
```

Properties
spin magnetization	0.7	μB/f.u.
formation energy from raw total energies	-38.006	kcal/mol of atoms
space group	No. 10

=====

Record 10
A geometry-optimized PrPa2Si structure. Source: Alexandria, functional PBE.

```
PrPa2Si
1.0
3.206 0.000 0.000
1.603 2.776 0.000
1.603 0.925 11.408
Si Pr Pa
1 1 2
Cartesian
3.206 1.851 5.704
0.000 0.000 0.000
1.603 0.925 8.032
4.808 2.776 3.376
```

Properties
energy relative to the lowest polymorph listed for this composition	292	meV/atom
spin magnetization	0.0	μB/f.u.
formation energy from raw total energies	5.303	kcal/mol of atoms
space group	No. 166

=====

Record 11
A geometry-optimized PrPaSi4 structure. Source: Alexandria, functional PBE.

```
PrPaSi4
1.0
4.009 0.000 0.000
0.000 8.223 0.000
0.000 0.000 15.194
Pr Si Pa
4 16 4
Cartesian
0.000 3.327 9.823
0.000 0.785 2.226
0.000 4.897 5.372
0.000 7.438 12.969
2.005 0.108 10.707
2.005 6.923 6.598
2.005 2.811 0.999
2.005 7.194 0.609
2.005 4.220 12.085
2.005 5.142 8.206
2.005 6.399 2.892
2.005 5.412 14.195
2.005 8.116 4.487
2.005 2.287 4.706
2.005 1.300 8.596
2.005 5.936 10.489
2.005 3.082 6.988
2.005 1.824 12.303
2.005 4.004 3.110
2.005 1.030 14.586
0.000 0.927 6.417
0.000 7.297 8.777
0.000 5.038 1.180
0.000 3.185 14.015
```

Properties
energy relative to the lowest polymorph listed for this composition	0	meV/atom
spin magnetization	0.0	μB/f.u.
formation energy from raw total energies	-9.263	kcal/mol of atoms
space group	No. 55

=====

Record 12
A geometry-optimized PrPa2Si structure. Source: Alexandria, functional PBE.

```
PrPa2Si
1.0
4.928 0.000 0.000
0.000 4.415 0.000
0.000 0.000 4.415
Pa Si Pr
2 1 1
Cartesian
0.000 0.000 2.207
0.000 2.207 0.000
2.464 0.000 0.000
2.464 2.207 2.207
```

Properties
energy relative to the lowest polymorph listed for this composition	0	meV/atom
spin magnetization	0.0	μB/f.u.
formation energy from raw total energies	-1.421	kcal/mol of atoms
space group	No. 123

=====

Record 13
A geometry-optimized PrPaSi3 structure. Source: Alexandria, functional PBE.

```
PrPaSi3
1.0
4.174 0.000 -0.575
0.000 4.034 0.000
-0.393 0.000 12.592
Si Pa Pr
6 2 2
Cartesian
2.172 3.026 0.330
2.695 1.009 4.128
2.501 3.026 2.718
1.609 1.009 11.687
1.280 1.009 9.299
1.086 3.026 7.889
0.693 3.026 5.033
3.088 1.009 6.985
3.542 3.026 10.280
0.239 1.009 1.737
```

Properties
spin magnetization	0.0	μB/f.u.
formation energy from raw total energies	-12.773	kcal/mol of atoms
space group	No. 63

=====

Record 14
A geometry-optimized Pr3PaSi7 structure. Source: Alexandria, functional PBE.

```
Pr3PaSi7
1.0
-2.995 2.238 -2.032
0.356 -8.286 -5.197
-8.260 -4.726 6.969
Pr Si Pa
6 14 2
Cartesian
-3.987 -3.700 1.801
-6.912 -7.074 -2.062
-6.749 -7.024 2.210
-0.640 -1.784 -1.023
-10.259 -8.989 0.763
-4.150 -3.750 -2.470
-4.453 -6.047 -0.097
-3.754 -1.265 -0.316
-7.152 -3.817 1.880
-0.903 -4.015 -3.093
-8.956 -3.223 5.195
-6.455 -1.792 3.085
-9.996 -6.758 2.832
-1.943 -7.551 -5.455
-4.444 -8.982 -3.345
-8.830 -4.778 3.296
-2.069 -5.996 -3.556
-6.446 -4.727 -0.163
-3.747 -6.957 -2.140
-7.145 -9.509 0.056
-4.604 -6.603 -4.944
-6.295 -4.170 4.684
```

Properties
spin magnetization	0.0	μB/f.u.
formation energy from raw total energies	-12.062	kcal/mol of atoms
space group	No. 63

=====

Record 15
A geometry-optimized PrPaSi4 structure. Source: Alexandria, functional PBE.

```
PrPaSi4
1.0
5.375 0.000 0.000
2.687 4.654 0.000
2.687 1.551 4.388
Pr Pa Si
1 1 4
Cartesian
0.000 0.000 0.000
2.687 1.551 1.097
5.375 1.546 2.744
5.375 3.103 0.543
4.026 3.881 2.744
6.723 3.881 2.744
```

Properties
energy relative to the lowest polymorph listed for this composition	176	meV/atom
spin magnetization	0.0	μB/f.u.
formation energy from raw total energies	-5.209	kcal/mol of atoms
space group	No. 216

=====

Record 16
A geometry-optimized PrPaZnSi structure. Source: Alexandria, functional PBE.

```
PrPaZnSi
1.0
5.079 0.000 0.000
2.540 4.399 0.000
2.540 1.466 4.147
Pa Pr Si Zn
1 1 1 1
Cartesian
2.540 1.466 1.037
7.619 4.399 3.111
0.000 0.000 0.000
5.079 2.933 2.074
```

Properties
spin magnetization	1.4	μB/f.u.
formation energy from raw total energies	-2.944	kcal/mol of atoms
space group	No. 216

=====

Record 17
A geometry-optimized Pr2SmPa structure. Source: Alexandria, functional PBE.

```
Pr2SmPa
1.0
3.520 0.000 0.000
1.760 3.048 0.000
1.760 1.016 11.907
Sm Pr Pa
1 2 1
Cartesian
3.520 2.032 5.954
5.280 3.048 9.115
1.760 1.016 2.792
0.000 0.000 0.000
```

Properties
energy relative to the lowest polymorph listed for this composition	0	meV/atom
spin magnetization	0.0	μB/f.u.
energy of formation from the pure elements	0.16	eV per atom
space group	No. 166

=====

Record 18
A geometry-optimized PrSmPa structure. Source: Alexandria, functional PBE.

```
PrSmPa
1.0
-3.472 0.155 -0.213
-1.865 -2.934 -0.201
-2.881 -1.430 17.441
Pa Sm Pr
2 2 2
Cartesian
-3.642 -1.891 1.059
-4.576 -2.318 15.968
-5.797 -2.989 6.917
-2.421 -1.220 10.110
-6.178 -3.163 13.011
-2.039 -1.045 4.016
```

Properties
energy relative to the lowest polymorph listed for this composition	0	meV/atom
spin magnetization	0.0	μB/f.u.
energy of formation from the pure elements	0.16	eV per atom
space group	No. 166

=====

Record 19
A geometry-optimized PrSmPa structure. Source: Alexandria, functional PBE.

```
PrSmPa
1.0
3.417 0.000 0.000
0.000 3.417 0.000
-1.709 -1.709 7.981
Sm Pa Pr
1 1 1
Cartesian
1.709 1.709 2.893
0.000 0.000 5.303
1.709 1.709 7.766
```

Properties
energy relative to the lowest polymorph listed for this composition	28	meV/atom
spin magnetization	0.0	μB/f.u.
energy of formation from the pure elements	0.19	eV per atom
space group	No. 107

=====

Record 20
A geometry-optimized Pr2SmPa structure. Source: Alexandria, functional PBE.

```
Pr2SmPa
1.0
-0.998 -3.111 1.183
-1.130 -0.845 -3.175
9.598 -3.976 -2.358
Pr Sm Pa
2 1 1
Cartesian
7.403 -3.067 -1.819
2.195 -0.909 -0.539
3.735 -3.966 -2.175
-1.064 -1.978 -0.996
```

Properties
energy relative to the lowest polymorph listed for this composition	15	meV/atom
spin magnetization	0.0	μB/f.u.
energy of formation from the pure elements	0.18	eV per atom
space group	No. 123